(1)
This record from Alexandria describes a relaxed SrRuCl2 crystal. The functional is GGA-PBEsol.

a = 3.3659 Å, b = 3.3659 Å, c = 7.4943 Å
α = 90.00°, β = 90.00°, γ = 90.00°
Each line ends with the local moment (μB).
Fractional coordinates of all 4 atoms:
Sr 0.5000 0.5000 0.7482  -0.01
Ru 0.0000 0.0000 0.4314  0.41
Cl 0.0000 0.0000 0.9672  0.00
Cl 0.5000 0.5000 0.3532  0.01

Energy above the most stable polymorph in this dataset in meV per atom: 152.6
Symmetry: P4mm
Formation energy from raw total energies in kJ/mol of formula units: -214

(2)
This record from Alexandria describes a relaxed LiPSe2 crystal. The functional is GGA-PBEsol.

a = 5.3118 Å, b = 5.4601 Å, c = 5.5047 Å
α = 86.11°, β = 89.99°, γ = 90.01°
Fractional coordinates of all 8 atoms:
P 0.2724 0.3024 0.0822
Se 0.7211 0.2726 0.0038
P 0.7724 0.6976 0.9179
Se 0.7526 0.7496 0.5133
Li 0.7538 0.2450 0.5039
Se 0.2212 0.7274 0.9963
Se 0.2526 0.2504 0.4867
Li 0.2539 0.7550 0.4960

Symmetry: P2_1
Formation energy from raw total energies in kJ/mol of formula units: -196

(3)
This record from Alexandria describes a relaxed Si2TcAs crystal. The functional is GGA-PBEsol.

a = 3.0208 Å, b = 3.0208 Å, c = 7.7562 Å
α = 78.77°, β = 78.77°, γ = 60.00°
Fractional coordinates of all 4 atoms:
Si 0.2426 0.2426 0.2722
As 0.0000 0.0000 0.0000
Si 0.7574 0.7574 0.7278
Tc 0.5000 0.5000 0.5000

Symmetry: R-3m
Formation energy from raw total energies in kJ/mol of formula units: -4

(4)
This record from Alexandria describes a relaxed KSI2 crystal. The functional is GGA-PBEsol.

a = 6.4847 Å, b = 6.4847 Å, c = 9.7512 Å
α = 109.42°, β = 109.42°, γ = 90.00°
Fractional coordinates of all 8 atoms:
S 0.7500 0.2500 0.5000
K 0.2500 0.7500 0.5000
S 0.5000 0.5000 0.0000
I 0.4915 0.8750 0.2500
I 0.7585 0.3750 0.2500
I 0.1250 0.2415 0.7500
I 0.6250 0.5085 0.7500
K 0.0000 0.0000 0.0000

Symmetry: I-42d
Formation energy from raw total energies in kJ/mol of formula units: -116

(5)
This record from Alexandria describes a relaxed Tl2Cd crystal. The functional is GGA-PBEsol.

a = 4.9912 Å, b = 6.5630 Å, c = 9.5763 Å
α = 90.00°, β = 90.00°, γ = 90.00°
Fractional coordinates of all 12 atoms:
Tl 0.7500 0.8350 0.4345
Tl 0.2500 0.6650 0.9345
Tl 0.7500 0.3350 0.0655
Tl 0.2500 0.5492 0.2839
Tl 0.7500 0.4508 0.7161
Tl 0.7500 0.9508 0.7839
Cd 0.7500 0.8116 0.1051
Tl 0.2500 0.0492 0.2161
Cd 0.7500 0.3116 0.3949
Tl 0.2500 0.1650 0.5655
Cd 0.2500 0.1884 0.8949
Cd 0.2500 0.6884 0.6051

Energy above the most stable polymorph in this dataset in meV per atom: 15.1
Symmetry: Pnma
Formation energy in eV per atom: 0.05

(6)
This record from Alexandria describes a relaxed Tc5Ru crystal. The functional is GGA-PBEsol.

a = 2.6982 Å, b = 2.6982 Å, c = 11.4512 Å
α = 90.00°, β = 90.00°, γ = 90.00°
Fractional coordinates of all 6 atoms:
Tc 0.0000 0.0000 0.8351
Tc 0.5000 0.5000 0.3327
Tc 0.5000 0.5000 0.6673
Tc 0.0000 0.0000 0.5000
Tc 0.0000 0.0000 0.1649
Ru 0.5000 0.5000 0.0000

Energy above the most stable polymorph in this dataset in meV per atom: 103.9
Symmetry: P4/mmm
Formation energy in eV per atom: 0.07